[1]
Computed, not measured: a geometry-optimized Mn4V5Ga structure at the PBE level of DFT.

Structure (CIF):
```
data_Mn4V5Ga
_cell_length_a 2.8832
_cell_length_b 2.8832
_cell_length_c 14.8075
_cell_angle_alpha 90.00
_cell_angle_beta 90.00
_cell_angle_gamma 90.00
_symmetry_space_group_name_H-M 'P 1'
_symmetry_Int_Tables_number 1
_symmetry_space_group_name_Hall 'P 1'
loop_
_atom_site_label
_atom_site_type_symbol
_atom_site_fract_x
_atom_site_fract_y
_atom_site_fract_z
Mn1 Mn 0.0000 0.0000 0.2094
Mn2 Mn 0.0000 0.0000 0.4031
Mn3 Mn 0.0000 0.0000 0.5969
Mn4 Mn 0.0000 0.0000 0.7906
V1 V 0.5000 0.5000 0.1167
V2 V 0.5000 0.5000 0.3073
V3 V 0.5000 0.5000 0.5000
V4 V 0.5000 0.5000 0.6927
V5 V 0.5000 0.5000 0.8833
Ga1 Ga 0.0000 0.0000 0.0000
```

## Properties
crystal system	tetragonal
formation enthalpy at 0 K	-0.22	eV per atom

[2]
Computed, not measured: a geometry-optimized Th6SnGe3Se2 structure at the PBE level of DFT.

Structure (CIF):
```
data_Th6SnGe3Se2
_cell_length_a 4.3234
_cell_length_b 8.6452
_cell_length_c 9.6666
_cell_angle_alpha 102.99
_cell_angle_beta 102.92
_cell_angle_gamma 90.00
_symmetry_space_group_name_H-M 'P 1'
_symmetry_Int_Tables_number 1
_symmetry_space_group_name_Hall 'P 1'
loop_
_atom_site_label
_atom_site_type_symbol
_atom_site_fract_x
_atom_site_fract_y
_atom_site_fract_z
Th1 Th 0.3285 0.9229 0.6570
Th2 Th 0.6633 0.5889 0.3266
Th3 Th 0.6715 0.0771 0.3430
Th4 Th 0.9989 0.2624 0.9979
Th5 Th 0.0011 0.7376 0.0021
Th6 Th 0.3367 0.4111 0.6734
Sn1 Sn 0.5000 0.0000 0.0000
Ge1 Ge 0.5000 0.5000 0.0000
Ge2 Ge 0.8338 0.1695 0.6675
Ge3 Ge 0.1662 0.8305 0.3325
Se1 Se 0.8317 0.6655 0.6634
Se2 Se 0.1683 0.3345 0.3366
```

## Properties
uncorrected formation energy	-1023	meV per atom
crystal system	monoclinic

Number 1: theoretical density 7.34 g cm⁻³, calculated volume 123 Å³ per cell, raw total energy -8.75 eV per atom. Number 2: theoretical density 9.14 g cm⁻³, calculated volume 343 Å³ per cell, raw total energy -6.80 eV per atom.